Crystalline Ta2ZnRe at its relaxed geometry. Source: the Alexandria database, functional GGA-PBE.

ρ   15.59 Mg/m³
Calculated formation energy   -0.098 eV/atom
Symmetry   No. 123
Total magnetization   0.000 μB per atom
Crystal system   tetragonal
VASP energy   -9.4550 eV/atom

abc: 3.246 3.246 6.201
angles: 90.00 90.00 90.00
Positions (direct):
Re 0.500 0.500 0.750
Ta 0.000 0.000 0.997
Ta 0.000 0.000 0.503
Zn 0.500 0.500 0.250